This record from the Alexandria database describes a relaxed Sr5B3BrO9 crystal. The functional is GGA-PBEsol.

Raw formation energy = -2.827 eV per atom
Volume = 530.73 Å³ per cell
DOS(E_F) = 0.00 states/eV/cell

Lattice parameters (Å, degrees): 7.5148 8.6495 8.6495 109.27 90.00 90.00
Fractional coordinates of all 36 atoms:
Sr 0.5000 0.7583 0.7583
Sr 0.4285 0.0062 0.2668
Sr 0.2500 0.6371 0.3629
Sr 0.2500 0.3645 0.6355
Sr 0.9285 0.9938 0.7332
Sr 0.0000 0.2417 0.2417
Sr 0.0715 0.7332 0.9938
Sr 0.7500 0.3629 0.6371
Sr 0.7500 0.6355 0.3645
Sr 0.5715 0.2668 0.0062
B 0.5000 0.3723 0.3723
B 0.0000 0.6277 0.6277
B 0.5274 0.0163 0.5930
B 0.4726 0.5930 0.0163
B 0.0274 0.9837 0.4070
B 0.9726 0.4070 0.9837
Br 0.7500 0.9401 0.0599
Br 0.2500 0.0599 0.9401
O 0.0000 0.4882 0.4882
O 0.8378 0.6948 0.6911
O 0.0144 0.5177 0.1389
O 0.5144 0.4823 0.8611
O 0.4856 0.8611 0.4823
O 0.5138 0.5565 0.1568
O 0.4862 0.1568 0.5565
O 0.0138 0.4435 0.8432
O 0.5000 0.5118 0.5118
O 0.8849 0.2631 0.9706
O 0.9862 0.8432 0.4435
O 0.3378 0.3052 0.3089
O 0.1151 0.9706 0.2631
O 0.6622 0.3089 0.3052
O 0.6151 0.0294 0.7369
O 0.9856 0.1389 0.5177
O 0.1622 0.6911 0.6948
O 0.3849 0.7369 0.0294